# 1
This record from OQMD via LeMat-Bulk describes a relaxed BaTlIr crystal. The functional is PBE.

Structure (POSCAR):
```
BaTlIr
1.0
-2.973 -4.222 -0.790
-4.682 0.489 -2.265
-0.756 -1.793 -4.848
Ba Ir Tl
1 1 1
Direct
0.000 0.000 0.000
0.250 0.250 0.250
0.750 0.750 0.750
```

Results
As for the crystal system: cubic. The volume comes out at 33.6 A^3/atom. The calculation puts the final energy at -3.6232 eV per atom.



# 2
This record from OQMD via LeMat-Bulk describes a relaxed BaTl2Ir crystal. The functional is PBE.

Structure (POSCAR):
```
BaTl2Ir
1.0
-4.048 -0.757 3.416
-4.971 1.412 -1.388
-3.671 -3.764 -0.994
Ba Ir Tl
1 1 2
Direct
0.750 0.750 0.750
0.500 0.500 0.500
0.000 0.000 0.000
0.250 0.250 0.250
```

Results
As for the crystal system: cubic. The volume comes out at 27.1 A^3/atom. The calculation puts the final energy at -3.6270 eV per atom.



# 3
This record from OQMD via LeMat-Bulk describes a relaxed BaIrW2 crystal. The functional is PBE.

Structure (POSCAR):
```
BaIrW2
1.0
-2.007 -0.626 4.311
0.387 3.416 3.345
-3.847 2.577 1.252
Ba Ir W
1 1 2
Direct
0.500 0.500 0.500
0.250 0.250 0.250
0.000 0.000 0.000
0.750 0.750 0.750
```

Results
As for the crystal system: cubic. The volume comes out at 19.5 A^3/atom. The calculation puts the final energy at -7.9161 eV per atom.



# 4
This record from OQMD via LeMat-Bulk describes a relaxed BaYIr crystal. The functional is PBE.

Structure (POSCAR):
```
BaYIr
1.0
3.749 -2.946 -1.207
-0.876 -4.585 -1.551
0.772 -1.193 -4.709
Ba Ir Y
1 1 1
Direct
0.000 0.000 0.000
0.250 0.250 0.250
0.750 0.750 0.750
```

Results
Its energy above the lowest structure with this stoichiometry is 92.9 kJ per mole of atoms. As for the crystal system: cubic. The volume comes out at 28.0 A^3/atom. The calculation puts the final energy at -4.9658 eV per atom.